This record from Alexandria via LeMat-Bulk describes a relaxed V4Si2As crystal. The functional is PBE-GGA.

## Properties
As for the total magnetization: 4.41 μB/f.u. Its formation energy from raw total energies is 0.49 eV/atom. As for the final energy: -48.508 eV per formula unit.

Lattice parameters (Å, degrees): 4.4475 4.4475 7.0046 71.49 71.49 90.00
Closest atoms and distances in Å follow each position.
Atoms (fractional coordinates):
As 0.0000 0.0000 0.0000  6 V 2.22-2.40
Si 0.3878 0.3878 0.2244  5 V 2.46-2.63
Si 0.6122 0.6122 0.7756  5 V 2.46-2.63
V 0.5000 0.0000 0.0000  2 As 2.22
V 0.0000 0.5000 0.0000  2 As 2.22
V 0.1916 0.1916 0.6168  1 As 2.40, 1 Si 2.46
V 0.8084 0.8084 0.3832  1 As 2.40, 1 Si 2.46

=====

This record from Alexandria via LeMat-Bulk describes a relaxed ZrVSiAs2 crystal. The functional is PBE-GGA.

## Properties
As for the total magnetization: 0.12 μB/f.u. Its formation energy from raw total energies is 0.95 eV/atom. As for the final energy: -27.637 eV per formula unit.

Lattice parameters (Å, degrees): 4.6843 4.9048 4.6843 90.00 90.00 90.00
Closest atoms and distances in Å follow each position.
Atoms (fractional coordinates):
Si 0.0000 0.0000 0.0000  4 As 2.34, 2 Zr 2.45
As 0.5000 0.0000 0.0000  2 Si 2.34
As 0.0000 0.0000 0.5000  2 Si 2.34
Zr 0.0000 0.5000 0.0000  2 Si 2.45
V 0.5000 0.5000 0.5000  4 Zr 3.31, 8 As 3.39

=====

This record from Alexandria via LeMat-Bulk describes a relaxed SiAsW2 crystal. The functional is PBE-GGA.

## Properties
As for the total magnetization: 0.00 μB/f.u. Its formation energy from raw total energies is 0.20 eV/atom. As for the final energy: -35.182 eV per formula unit.

Lattice parameters (Å, degrees): 8.2358 8.2358 8.2358 21.20 21.20 21.20
Closest atoms and distances in Å follow each position.
Atoms (fractional coordinates):
As 0.5012 0.5012 0.5012  3 W 2.62, 3 Si 2.73
Si 0.7476 0.7476 0.7476  3 W 2.57, 3 As 2.73
W 0.2484 0.2484 0.2484  3 As 2.62, 3 W 2.75
W 0.0027 0.0027 0.0027  3 Si 2.57, 3 W 2.75

=====

This record from Alexandria via LeMat-Bulk describes a relaxed Si2AsW crystal. The functional is PBE-GGA.

## Properties
As for the total magnetization: 0.00 μB/f.u. Its formation energy from raw total energies is 0.33 eV/atom. As for the final energy: -27.117 eV per formula unit.

Lattice parameters (Å, degrees): 4.8689 4.8689 4.8689 140.61 124.87 69.84
Closest atoms and distances in Å follow each position.
Atoms (fractional coordinates):
W 0.2500 0.7500 0.5000  8 Si 2.66-2.94, 4 As 2.79
Si 0.5130 0.5130 0.0000  2 As 2.50, 2 W 2.66, 4 Si 2.79
Si 0.9870 0.9870 0.0000  2 As 2.50, 2 W 2.66, 4 Si 2.79
As 0.7500 0.2500 0.5000  4 Si 2.50, 4 W 2.79

=====

This record from Alexandria via LeMat-Bulk describes a relaxed SiAsW2 crystal. The functional is PBE-GGA.

## Properties
As for the total magnetization: 0.00 μB/f.u. Its formation energy from raw total energies is 0.46 eV/atom. As for the final energy: -34.122 eV per formula unit.

Lattice parameters (Å, degrees): 4.9923 4.9923 4.9923 142.80 122.26 70.71
Closest atoms and distances in Å follow each position.
Atoms (fractional coordinates):
Si 0.2500 0.7500 0.5000  4 W 2.54
W 0.0074 0.0074 0.0000  2 Si 2.54, 2 As 2.63
W 0.4926 0.4926 0.0000  2 Si 2.54, 2 As 2.63
As 0.7500 0.2500 0.5000  4 W 2.63, 4 Si 2.89

=====

This record from Alexandria via LeMat-Bulk describes a relaxed Si2AsW crystal. The functional is PBE-GGA.

## Properties
As for the total magnetization: 0.00 μB/f.u. Its formation energy from raw total energies is 0.23 eV/atom. As for the final energy: -27.543 eV per formula unit.

Lattice parameters (Å, degrees): 3.2252 3.2543 7.3565 54.08 90.00 90.00
Closest atoms and distances in Å follow each position.
Atoms (fractional coordinates):
As 0.5000 0.7500 0.7500  4 Si 2.59
W 0.5000 0.2500 0.2500  8 Si 2.61-2.64
Si 0.0000 0.0290 0.0342  1 Si 2.57, 2 As 2.59, 4 W 2.61-2.64
Si 0.0000 0.4710 0.4658  1 Si 2.57, 2 As 2.59, 4 W 2.61-2.64

=====

The lowest final energy belongs to which entry?
V4Si2As

=====

Please write out number 5 again, unchanged.
This record from Alexandria via LeMat-Bulk describes a relaxed SiAsW2 crystal. The functional is PBE-GGA.

## Properties
As for the total magnetization: 0.00 μB/f.u. Its formation energy from raw total energies is 0.46 eV/atom. As for the final energy: -34.122 eV per formula unit.

Lattice parameters (Å, degrees): 4.9923 4.9923 4.9923 142.80 122.26 70.71
Closest atoms and distances in Å follow each position.
Atoms (fractional coordinates):
Si 0.2500 0.7500 0.5000  4 W 2.54
W 0.0074 0.0074 0.0000  2 Si 2.54, 2 As 2.63
W 0.4926 0.4926 0.0000  2 Si 2.54, 2 As 2.63
As 0.7500 0.2500 0.5000  4 W 2.63, 4 Si 2.89